1.
This record from the Alexandria database describes a relaxed CoNi5Pt crystal. The functional is PBE.

Computed properties:
Space group: Cmmm
Total energy, eV per atom: -5.867

Cell lengths 4.9654, 7.0890, 5.0743 Å; angles 90.00, 90.00, 90.00 degrees
Fractional positions:
Co1 0.0000 0.0000 0.0000
Co2 0.5000 0.5000 0.0000
Ni1 0.0000 0.5000 0.0000
Ni2 0.2500 0.2500 0.2453
Ni3 0.2500 0.2500 0.7547
Ni4 0.2500 0.7500 0.2453
Ni5 0.2500 0.7500 0.7547
Ni6 0.5000 0.0000 0.0000
Ni7 0.7500 0.2500 0.2453
Ni8 0.7500 0.2500 0.7547
Ni9 0.7500 0.7500 0.2453
Ni10 0.7500 0.7500 0.7547
Pt1 0.0000 0.5000 0.5000
Pt2 0.5000 0.0000 0.5000

=====

2.
This record from the Alexandria database describes a relaxed Co3Ni3Pt2 crystal. The functional is PBE.

Computed properties:
Offset from the most stable computed form, eV per atom: 0.000
Space group: Immm

Cell lengths 4.2516, 4.2711, 10.8849 Å; angles 90.00, 90.00, 90.00 degrees
Fractional positions:
Co1 0.0000 0.0000 0.0000
Co2 0.0000 0.5000 0.3894
Co3 0.0000 0.5000 0.6106
Co4 0.5000 0.0000 0.1106
Co5 0.5000 0.0000 0.8894
Co6 0.5000 0.5000 0.5000
Ni1 0.0000 0.0000 0.5000
Ni2 0.0000 0.5000 0.1117
Ni3 0.0000 0.5000 0.8883
Ni4 0.5000 0.0000 0.3883
Ni5 0.5000 0.0000 0.6117
Ni6 0.5000 0.5000 0.0000
Pt1 0.0000 0.0000 0.2510
Pt2 0.0000 0.0000 0.7490
Pt3 0.5000 0.5000 0.2490
Pt4 0.5000 0.5000 0.7510

=====

3.
This record from the Alexandria database describes a relaxed Co4Ni5Pt2 crystal. The functional is PBE.

Computed properties:
Offset from the most stable computed form, eV per atom: 0.050
Space group: C2/m

Cell lengths 5.2423, 5.2423, 7.4275 Å; angles 120.19, 120.19, 53.31 degrees
Fractional positions:
Co1 0.2456 0.2456 0.1083
Co2 0.2479 0.2479 0.4512
Co3 0.7521 0.7521 0.5488
Co4 0.7544 0.7544 0.8917
Ni1 0.2405 0.7266 0.8280
Ni2 0.2734 0.7595 0.1720
Ni3 0.5000 0.5000 0.5000
Ni4 0.7266 0.2405 0.8280
Ni5 0.7595 0.2734 0.1720
Pt1 0.1685 0.1685 0.7135
Pt2 0.8315 0.8315 0.2865

=====

4.
This record from the Alexandria database describes a relaxed Co4Ni5Pt crystal. The functional is PBE.

Computed properties:
Space group: C2/m
Total energy, eV per atom: -6.164

Cell lengths 4.6502, 4.6502, 7.3896 Å; angles 90.97, 90.97, 49.58 degrees
Fractional positions:
Co1 0.0417 0.0417 0.2545
Co2 0.3174 0.3174 0.2574
Co3 0.6826 0.6826 0.7426
Co4 0.9583 0.9583 0.7455
Ni1 0.1864 0.1864 0.5527
Ni2 0.1918 0.1918 0.9396
Ni3 0.5000 0.5000 0.5000
Ni4 0.8082 0.8082 0.0604
Ni5 0.8136 0.8136 0.4473
Pt1 0.5000 0.5000 0.0000

=====

5.
This record from the Alexandria database describes a relaxed CoNi2Pt crystal. The functional is PBE.

Computed properties:
Space group: Cm
Total energy, eV per atom: -6.223

Cell lengths 8.5420, 2.6398, 4.4412 Å; angles 90.00, 100.71, 90.00 degrees
Fractional positions:
Co1 0.0000 0.0000 0.0000
Co2 0.5000 0.5000 0.0000
Ni1 0.0050 0.5000 0.5244
Ni2 0.2533 0.0000 0.7605
Ni3 0.5050 0.0000 0.5244
Ni4 0.7533 0.5000 0.7605
Pt1 0.2519 0.5000 0.2588
Pt2 0.7519 0.0000 0.2588

=====

6.
This record from the Alexandria database describes a relaxed CoNiPt2 crystal. The functional is PBE.

Computed properties:
Space group: P4/mmm
Total energy, eV per atom: -6.359

Cell lengths 2.6993, 2.6993, 7.4102 Å; angles 90.00, 90.00, 90.00 degrees
Fractional positions:
Co1 0.0000 0.0000 0.0000
Ni1 0.0000 0.0000 0.5000
Pt1 0.5000 0.5000 0.2481
Pt2 0.5000 0.5000 0.7519

=====

7.
This record from the Alexandria database describes a relaxed Co2NiPt crystal. The functional is PBE.

Computed properties:
Space group: I-4m2
Total energy, eV per atom: -6.573

Cell lengths 3.6893, 3.6893, 7.2206 Å; angles 90.00, 90.00, 90.00 degrees
Fractional positions:
Co1 0.0000 0.0000 0.0000
Co2 0.0000 0.5000 0.2500
Co3 0.5000 0.0000 0.7500
Co4 0.5000 0.5000 0.5000
Ni1 0.0000 0.0000 0.5000
Ni2 0.5000 0.5000 0.0000
Pt1 0.0000 0.5000 0.7500
Pt2 0.5000 0.0000 0.2500

=====

8.
This record from the Alexandria database describes a relaxed Co5Ni5Pt2 crystal. The functional is PBE.

Computed properties:
Space group: C2/m
Total energy, eV per atom: -6.409

Cell lengths 5.7249, 5.7249, 8.0368 Å; angles 115.37, 115.37, 37.17 degrees
Fractional positions:
Co1 0.0000 0.0000 0.0000
Co2 0.0890 0.0890 0.7639
Co3 0.2512 0.2512 0.2386
Co4 0.7488 0.7488 0.7614
Co5 0.9110 0.9110 0.2361
Ni1 0.3344 0.3344 0.0001
Ni2 0.4224 0.4224 0.7630
Ni3 0.5000 0.5000 0.5000
Ni4 0.5776 0.5776 0.2370
Ni5 0.6656 0.6656 0.9999
Pt1 0.1606 0.1606 0.5007
Pt2 0.8394 0.8394 0.4993

=====

9.
This record from the Alexandria database describes a relaxed Co3NiPt2 crystal. The functional is PBE.

Computed properties:
Offset from the most stable computed form, eV per atom: 0.000
Space group: Cmmm

Cell lengths 4.3200, 13.2003, 2.7042 Å; angles 90.00, 90.00, 90.00 degrees
Fractional positions:
Co1 0.0000 0.0000 0.0000
Co2 0.0000 0.3533 0.0000
Co3 0.0000 0.6467 0.0000
Co4 0.5000 0.1467 0.0000
Co5 0.5000 0.5000 0.0000
Co6 0.5000 0.8533 0.0000
Ni1 0.0000 0.5000 0.5000
Ni2 0.5000 0.0000 0.5000
Pt1 0.0000 0.1776 0.5000
Pt2 0.0000 0.8224 0.5000
Pt3 0.5000 0.3224 0.5000
Pt4 0.5000 0.6776 0.5000

=====

10.
This record from the Alexandria database describes a relaxed Co4Ni10Pt crystal. The functional is PBE.

Computed properties:
Space group: I4/m
Total energy, eV per atom: -5.780

Cell lengths 6.2519, 6.2519, 6.2519 Å; angles 107.30, 107.30, 113.90 degrees
Fractional positions:
Co1 0.1292 0.3311 0.4603
Co2 0.3311 0.8708 0.2019
Co3 0.6689 0.1292 0.7981
Co4 0.8708 0.6689 0.5397
Ni1 0.1159 0.4187 0.8959
Ni2 0.2199 0.1159 0.6972
Ni3 0.2500 0.7500 0.5000
Ni4 0.4187 0.5227 0.3028
Ni5 0.4773 0.7801 0.8959
Ni6 0.5227 0.2199 0.1041
Ni7 0.5813 0.4773 0.6972
Ni8 0.7500 0.2500 0.5000
Ni9 0.7801 0.8841 0.3028
Ni10 0.8841 0.5813 0.1041
Pt1 0.0000 0.0000 0.0000

=====

11.
This record from the Alexandria database describes a relaxed Co3Ni2Pt8 crystal. The functional is PBE.

Computed properties:
Space group: C2/m
Total energy, eV per atom: -6.135

Cell lengths 7.0042, 7.0042, 4.2388 Å; angles 100.21, 100.21, 73.03 degrees
Fractional positions:
Co1 0.0000 0.0000 0.0000
Co2 0.2155 0.7845 0.5000
Co3 0.7845 0.2155 0.5000
Ni1 0.3091 0.3091 0.1544
Ni2 0.6909 0.6909 0.8456
Pt1 0.0831 0.6271 0.9163
Pt2 0.1691 0.1691 0.5859
Pt3 0.3729 0.9169 0.0837
Pt4 0.4309 0.4309 0.7068
Pt5 0.5691 0.5691 0.2932
Pt6 0.6271 0.0831 0.9163
Pt7 0.8309 0.8309 0.4141
Pt8 0.9169 0.3729 0.0837

=====

12.
This record from the Alexandria database describes a relaxed CoNi3Pt3 crystal. The functional is PBE.

Computed properties:
Offset from the most stable computed form, eV per atom: 0.028
Space group: R-3

Cell lengths 7.4001, 7.4001, 7.4001 Å; angles 46.13, 46.13, 46.13 degrees
Fractional positions:
Co1 0.2032 0.2032 0.2032
Co2 0.7968 0.7968 0.7968
Ni1 0.0920 0.5642 0.2622
Ni2 0.2622 0.0920 0.5642
Ni3 0.4358 0.7378 0.9080
Ni4 0.5642 0.2622 0.0920
Ni5 0.7378 0.9080 0.4358
Ni6 0.9080 0.4358 0.7378
Pt1 0.2192 0.7623 0.3442
Pt2 0.2377 0.6558 0.7808
Pt3 0.3442 0.2192 0.7623
Pt4 0.6558 0.7808 0.2377
Pt5 0.7623 0.3442 0.2192
Pt6 0.7808 0.2377 0.6558